Entry 1:
# NdTmSi2Pd2 (PBE, relaxed)
# - E_tot (eV/atom) = -6.000
# - formation energy (no corrections) (eV/atom) = -0.92
data_NdTmSi2Pd2
_symmetry_space_group_name_H-M 'P -3 m 1'
_symmetry_Int_Tables_number 164
_symmetry_space_group_name_Hall '-P 3 2"'
_cell_length_a 4.3526
_cell_length_b 4.3526
_cell_length_c 7.2801
_cell_angle_alpha 90.00
_cell_angle_beta 90.00
_cell_angle_gamma 120.00
loop_
_atom_site_label
_atom_site_type_symbol
_atom_site_fract_x
_atom_site_fract_y
_atom_site_fract_z
Nd1 Nd 0.0000 0.0000 0.0000
Tm1 Tm 0.0000 0.0000 0.5000
Si1 Si 0.3333 0.6667 0.2722
Pd1 Pd 0.3333 0.6667 0.7075

---

Entry 2:
# NbZn15 (PBE, relaxed)
# - E_tot (eV/atom) = -1.813
# - ΔE_f (kcal/mol of atoms) = 0.26
data_NbZn15
_symmetry_space_group_name_H-M 'P -6 m 2'
_symmetry_Int_Tables_number 187
_symmetry_space_group_name_Hall 'P -6 2'
_cell_length_a 5.6689
_cell_length_b 5.6689
_cell_length_c 8.7717
_cell_angle_alpha 90.00
_cell_angle_beta 90.00
_cell_angle_gamma 120.00
loop_
_atom_site_label
_atom_site_type_symbol
_atom_site_fract_x
_atom_site_fract_y
_atom_site_fract_z
Nb1 Nb 0.0000 0.0000 0.0000
Zn1 Zn 0.0000 0.0000 0.5000
Zn2 Zn 0.0006 0.5003 0.5000
Zn3 Zn 0.3319 0.1660 0.2535
Zn4 Zn 0.3333 0.6667 0.2515
Zn5 Zn 0.5006 0.0012 0.0000

---

Entry 3:
# Sc6Cd5 (PBE, relaxed)
# - E_tot (eV/atom) = -4.035
# - ΔE_f (kcal/mol of atoms) = -3.81
data_Sc6Cd5
_symmetry_space_group_name_H-M 'C m m m'
_symmetry_Int_Tables_number 65
_symmetry_space_group_name_Hall '-C 2 2'
_cell_length_a 4.864
_cell_length_b 14.547
_cell_length_c 7.228
_cell_angle_alpha 90.00
_cell_angle_beta 90.00
_cell_angle_gamma 90.00
loop_
_atom_site_label
_atom_site_type_symbol
_atom_site_fract_x
_atom_site_fract_y
_atom_site_fract_z
Sc1 Sc 0.000 0.000 0.235
Sc2 Sc 0.000 0.342 0.241
Cd1 Cd 0.000 0.170 0.500
Cd2 Cd 0.000 0.174 0.000
Cd3 Cd 0.000 0.500 0.500

---

Entry 4:
# Ac2ZnPd5 (PBE, relaxed)
# - E_tot (eV/atom) = -5.134
# - ΔE_f (kcal/mol of atoms) = -16.20
data_Ac2ZnPd5
_symmetry_space_group_name_H-M 'I 4 m m'
_symmetry_Int_Tables_number 107
_symmetry_space_group_name_Hall 'I 4 -2'
_cell_length_a 6.363
_cell_length_b 6.363
_cell_length_c 8.674
_cell_angle_alpha 90.00
_cell_angle_beta 90.00
_cell_angle_gamma 90.00
loop_
_atom_site_label
_atom_site_type_symbol
_atom_site_fract_x
_atom_site_fract_y
_atom_site_fract_z
Ac1 Ac 0.000 0.500 0.000
Zn1 Zn 0.000 0.000 0.277
Pd1 Pd 0.000 0.000 0.982
Pd2 Pd 0.221 0.221 0.746

---

Entry 5:
# RbBaH (PBE, relaxed)
# - E_tot (eV/atom) = -2.154
# - polymorph energy (0 for the lowest one) (meV per atom) = 156
data_RbBaH
_symmetry_space_group_name_H-M 'P 3 m 1'
_symmetry_Int_Tables_number 156
_cell_length_a 4.3193
_cell_length_b 4.3193
_cell_length_c 7.5634
_cell_angle_alpha 90.00
_cell_angle_beta 90.00
_cell_angle_gamma 120.00
loop_
_symmetry_equiv_pos_as_xyz
'x,y,z'
'-y,x-y,z'
'-x+y,-x,z'
'-y,-x,z'
'-x+y,y,z'
'x,x-y,z'
loop_
_atom_site_label
_atom_site_type_symbol
_atom_site_fract_x
_atom_site_fract_y
_atom_site_fract_z
Rb1 Rb 0.0000 0.0000 0.0000
Ba1 Ba 0.3333 0.6667 0.4660
H1 H 0.6667 0.3333 0.2913

---

Entry 6:
# K2BaTaZn (PBE, relaxed)
# - E_tot (eV/atom) = -2.297
# - ΔE_f (kcal/mol of atoms) = 26.56
data_K2BaTaZn
_symmetry_space_group_name_H-M 'P 4/m m m'
_symmetry_Int_Tables_number 123
_symmetry_space_group_name_Hall '-P 4 2'
_cell_length_a 6.595
_cell_length_b 6.595
_cell_length_c 5.215
_cell_angle_alpha 90.00
_cell_angle_beta 90.00
_cell_angle_gamma 90.00
loop_
_atom_site_label
_atom_site_type_symbol
_atom_site_fract_x
_atom_site_fract_y
_atom_site_fract_z
K1 K 0.000 0.500 0.000
Ba1 Ba 0.000 0.000 0.500
Ta1 Ta 0.500 0.500 0.000
Zn1 Zn 0.500 0.500 0.500

---

Entry 7:
# Hf2Al3Au (PBE, relaxed)
# - E_tot (eV/atom) = -6.259
# - polymorph energy (0 for the lowest one) (meV per atom) = 0
# - ΔE_f (kcal/mol of atoms) = -12.07
data_Hf2Al3Au
_symmetry_space_group_name_H-M 'R -3 m'
_symmetry_Int_Tables_number 166
_symmetry_space_group_name_Hall '-R 3 2"'
_cell_length_a 5.3358
_cell_length_b 5.3358
_cell_length_c 12.7933
_cell_angle_alpha 90.00
_cell_angle_beta 90.00
_cell_angle_gamma 120.00
loop_
_atom_site_label
_atom_site_type_symbol
_atom_site_fract_x
_atom_site_fract_y
_atom_site_fract_z
Hf1 Hf 0.0000 0.0000 0.1232
Al1 Al 0.0000 0.5000 0.0000
Au1 Au 0.0000 0.0000 0.5000

---

Entry 8:
# LaThPtBr (PBE, relaxed)
# - E_tot (eV/atom) = -6.178
# - formation energy (no corrections) (eV/atom) = -1.16
data_LaThPtBr
_symmetry_space_group_name_H-M 'R 3 m'
_symmetry_Int_Tables_number 160
_symmetry_space_group_name_Hall 'R 3 -2"'
_cell_length_a 4.2184
_cell_length_b 4.2184
_cell_length_c 23.8036
_cell_angle_alpha 90.00
_cell_angle_beta 90.00
_cell_angle_gamma 120.00
loop_
_atom_site_label
_atom_site_type_symbol
_atom_site_fract_x
_atom_site_fract_y
_atom_site_fract_z
La1 La 0.0000 0.0000 0.0000
Th1 Th 0.0000 0.0000 0.8010
Pt1 Pt 0.0000 0.0000 0.4058
Br1 Br 0.0000 0.0000 0.2330